Entry 1:
Material: RbNa2AlHg
Method: DFT, PBE-GGA
State: optimized geometry

```
RbNa2AlHg
1.0
5.916 0.000 0.000
0.000 5.916 0.000
0.000 0.000 5.292
Rb Na Al Hg
1 2 1 1
direct
0.000 0.000 0.000
0.000 0.500 0.500
0.500 0.000 0.500
0.500 0.500 0.000
0.500 0.500 0.500
```

symmetry = P4/mmm (123)
energy of formation = 0.057 eV/atom



Entry 2:
Material: RbNa2AlHg
Method: DFT, PBE-GGA
State: optimized geometry

```
RbNa2AlHg
1.0
5.944 0.000 0.000
0.000 5.944 0.000
0.000 0.000 5.390
Rb Na Al Hg
1 2 1 1
direct
0.000 0.000 0.000
0.000 0.500 0.500
0.500 0.000 0.500
0.500 0.500 0.500
0.500 0.500 0.000
```

symmetry = P4/mmm (123)
energy of formation = 0.053 eV/atom



Entry 3:
Material: NaAl2HgS
Method: DFT, PBE-GGA
State: optimized geometry

```
NaAl2HgS
1.0
4.761 0.000 0.000
0.000 4.761 0.000
0.000 0.000 6.416
Na Al Hg S
1 2 1 1
direct
0.000 0.000 0.000
0.000 0.500 0.500
0.500 0.000 0.500
0.500 0.500 0.000
0.500 0.500 0.500
```

energy relative to the elements, uncorrected = 0.2430 eV per atom
symmetry = P4/mmm (123)



Entry 4:
Material: NaAlHg2S
Method: DFT, PBE-GGA
State: optimized geometry

```
NaAlHg2S
1.0
5.312 0.000 0.000
0.000 5.312 0.000
0.000 0.000 4.804
Na Al Hg S
1 1 2 1
direct
0.000 0.000 0.000
0.500 0.500 0.500
0.000 0.500 0.500
0.500 0.000 0.500
0.500 0.500 0.000
```

energy relative to the elements, uncorrected = -0.1929 eV per atom
symmetry = P4/mmm (123)



Entry 5:
Material: NaAlHg2S4
Method: DFT, PBE-GGA
State: optimized geometry

```
NaAlHg2S4
1.0
6.532 0.000 0.000
0.000 7.400 0.000
0.000 0.000 8.458
Na Al Hg S
2 2 4 8
direct
0.000 0.000 0.000
0.500 0.500 0.500
0.000 0.500 0.000
0.500 0.000 0.500
0.000 0.209 0.500
0.000 0.791 0.500
0.500 0.291 0.000
0.500 0.709 0.000
0.195 0.311 0.846
0.195 0.689 0.154
0.305 0.189 0.346
0.305 0.811 0.654
0.695 0.189 0.654
0.695 0.811 0.346
0.805 0.311 0.154
0.805 0.689 0.846
```

energy relative to the elements, uncorrected = -0.6274 eV per atom
symmetry = I222 (23)



Entry 6:
Material: NaSmAlHg
Method: DFT, PBE-GGA
State: optimized geometry

```
NaSmAlHg
1.0
7.341 0.000 0.000
0.000 7.341 0.000
0.000 0.000 7.341
Na Sm Al Hg
4 4 4 4
direct
0.000 0.000 0.000
0.000 0.500 0.500
0.500 0.000 0.500
0.500 0.500 0.000
0.000 0.000 0.500
0.000 0.500 0.000
0.500 0.000 0.000
0.500 0.500 0.500
0.250 0.250 0.250
0.250 0.750 0.750
0.750 0.250 0.750
0.750 0.750 0.250
0.250 0.250 0.750
0.250 0.750 0.250
0.750 0.250 0.250
0.750 0.750 0.750
```

symmetry = F-43m (216)
energy of formation = -0.198 eV/atom



Entry 7:
Material: NaAlTlHg
Method: DFT, PBE-GGA
State: optimized geometry

```
NaAlTlHg
1.0
7.235 0.000 0.000
0.000 7.235 0.000
0.000 0.000 7.235
Na Al Tl Hg
4 4 4 4
direct
0.000 0.000 0.000
0.000 0.500 0.500
0.500 0.000 0.500
0.500 0.500 0.000
0.000 0.000 0.500
0.000 0.500 0.000
0.500 0.000 0.000
0.500 0.500 0.500
0.250 0.250 0.250
0.250 0.750 0.750
0.750 0.250 0.750
0.750 0.750 0.250
0.250 0.250 0.750
0.250 0.750 0.250
0.750 0.250 0.250
0.750 0.750 0.750
```

symmetry = F-43m (216)
energy of formation = 0.006 eV/atom



Entry 8:
Material: NaAlTlHg2
Method: DFT, PBE-GGA
State: optimized geometry

```
NaAlTlHg2
1.0
5.261 0.000 0.000
0.000 5.261 0.000
0.000 0.000 5.510
Na Al Tl Hg
1 1 1 2
direct
0.000 0.000 0.000
0.500 0.500 0.500
0.500 0.500 0.000
0.000 0.500 0.500
0.500 0.000 0.500
```

symmetry = P4/mmm (123)
energy of formation = 0.056 eV/atom



Entry 9:
Material: NaTmAlHg
Method: DFT, PBE-GGA
State: optimized geometry

```
NaTmAlHg
1.0
7.201 0.000 0.000
0.000 7.201 0.000
0.000 0.000 7.201
Na Tm Al Hg
4 4 4 4
direct
0.000 0.000 0.000
0.000 0.500 0.500
0.500 0.000 0.500
0.500 0.500 0.000
0.000 0.000 0.500
0.000 0.500 0.000
0.500 0.000 0.000
0.500 0.500 0.500
0.250 0.250 0.250
0.250 0.750 0.750
0.750 0.250 0.750
0.750 0.750 0.250
0.250 0.250 0.750
0.250 0.750 0.250
0.750 0.250 0.250
0.750 0.750 0.750
```

symmetry = F-43m (216)
energy of formation = -0.157 eV/atom



Entry 10:
Material: NaAlV2Hg
Method: DFT, PBE-GGA
State: optimized geometry

```
NaAlV2Hg
1.0
4.928 0.000 0.000
0.000 4.928 0.000
0.000 0.000 4.919
Na Al V Hg
1 1 2 1
direct
0.000 0.000 0.000
0.500 0.500 0.500
0.000 0.500 0.000
0.500 0.000 0.000
0.000 0.000 0.500
```

symmetry = P4/mmm (123)
energy of formation = 1.641 eV/atom